# 1
First-principles (GGA-PBE) data for crystalline MnNbVRh at its relaxed geometry, as listed in the Alexandria database.

Cell lengths 6.1397, 6.1397, 6.1397 Å; angles 90.00, 90.00, 90.00 degrees
Closest atoms and distances in Å follow each position.
Fractional coordinates of all 16 atoms:
1 Mn 0.0000 0.0000 0.0000  4 Nb 2.66, 4 Rh 2.66
2 Mn 0.0000 0.5000 0.5000  4 Nb 2.66, 4 Rh 2.66
3 Mn 0.5000 0.0000 0.5000  4 Nb 2.66, 4 Rh 2.66
4 Mn 0.5000 0.5000 0.0000  4 Nb 2.66, 4 Rh 2.66
5 Nb 0.2500 0.2500 0.2500  4 Mn 2.66, 4 V 2.66
6 Nb 0.2500 0.7500 0.7500  4 Mn 2.66, 4 V 2.66
7 Nb 0.7500 0.2500 0.7500  4 Mn 2.66, 4 V 2.66
8 Nb 0.7500 0.7500 0.2500  4 Mn 2.66, 4 V 2.66
9 V 0.0000 0.0000 0.5000  4 Nb 2.66, 4 Rh 2.66
10 V 0.0000 0.5000 0.0000  4 Nb 2.66, 4 Rh 2.66
11 V 0.5000 0.0000 0.0000  4 Nb 2.66, 4 Rh 2.66
12 V 0.5000 0.5000 0.5000  4 Nb 2.66, 4 Rh 2.66
13 Rh 0.2500 0.2500 0.7500  4 Mn 2.66, 4 V 2.66
14 Rh 0.2500 0.7500 0.2500  4 Mn 2.66, 4 V 2.66
15 Rh 0.7500 0.2500 0.2500  4 Mn 2.66, 4 V 2.66
16 Rh 0.7500 0.7500 0.7500  4 Mn 2.66, 4 V 2.66

E_tot: -9.09 eV/atom
Energy of formation: -0.163 eV/atom
Fermi-level density of states: 0.50 states/eV/atom
Crystal system: cubic

=====

# 2
First-principles (GGA-PBE) data for crystalline Mn2Nb3Ru at its relaxed geometry, as listed in the Alexandria database.

Cell lengths 3.0912, 3.0912, 9.4255 Å; angles 90.00, 90.00, 90.00 degrees
Closest atoms and distances in Å follow each position.
Fractional coordinates of all 6 atoms:
1 Mn 0.0000 0.0000 0.1642  8 Nb 2.64-2.68
2 Mn 0.0000 0.0000 0.8358  8 Nb 2.64-2.68
3 Nb 0.5000 0.5000 0.0000  8 Mn 2.68
4 Nb 0.5000 0.5000 0.3221  4 Mn 2.64, 4 Ru 2.76
5 Nb 0.5000 0.5000 0.6779  4 Mn 2.64, 4 Ru 2.76
6 Ru 0.0000 0.0000 0.5000  8 Nb 2.76

E_tot: -9.79 eV/atom
Energy of formation: -0.154 eV/atom
Fermi-level density of states: 0.50 states/eV/atom
Crystal system: tetragonal

=====

# 3
First-principles (GGA-PBE) data for crystalline MnNbRu at its relaxed geometry, as listed in the Alexandria database.

Cell lengths 3.1443, 3.1443, 9.2818 Å; angles 90.00, 90.00, 90.00 degrees
Closest atoms and distances in Å follow each position.
Fractional coordinates of all 6 atoms:
1 Mn 0.0000 0.0000 0.0000  4 Ru 2.72, 4 Nb 2.73
2 Mn 0.5000 0.5000 0.5000  4 Ru 2.72, 4 Nb 2.73
3 Nb 0.0000 0.0000 0.6702  4 Ru 2.68, 4 Mn 2.73
4 Nb 0.5000 0.5000 0.1702  4 Ru 2.68, 4 Mn 2.73
5 Ru 0.0000 0.0000 0.3318  4 Nb 2.68, 4 Mn 2.72
6 Ru 0.5000 0.5000 0.8318  4 Nb 2.68, 4 Mn 2.72

E_tot: -9.56 eV/atom
Polymorph energy (0 for the lowest one): 0 meV per atom
Energy of formation: -0.057 eV/atom
Fermi-level density of states: 1.00 states/eV/atom
Crystal system: tetragonal

=====

# 4
First-principles (GGA-PBE) data for crystalline MnNb4Ru3 at its relaxed geometry, as listed in the Alexandria database.

Cell lengths 3.0680, 3.0680, 13.3495 Å; angles 90.00, 90.00, 90.00 degrees
Closest atoms and distances in Å follow each position.
Fractional coordinates of all 8 atoms:
1 Mn 0.0000 0.0000 0.0000  8 Nb 2.66
2 Nb 0.5000 0.5000 0.1147  4 Mn 2.66, 4 Ru 2.73
3 Nb 0.5000 0.5000 0.3711  8 Ru 2.77-2.80, 4 Nb 3.07
4 Nb 0.5000 0.5000 0.6289  8 Ru 2.77-2.80, 4 Nb 3.07
5 Nb 0.5000 0.5000 0.8853  4 Mn 2.66, 4 Ru 2.73
6 Ru 0.0000 0.0000 0.2386  8 Nb 2.73-2.80
7 Ru 0.0000 0.0000 0.5000  8 Nb 2.77, 4 Ru 3.07
8 Ru 0.0000 0.0000 0.7614  8 Nb 2.73-2.80

E_tot: -9.84 eV/atom
Energy of formation: -0.183 eV/atom
Fermi-level density of states: 0.80 states/eV/atom
Crystal system: tetragonal

=====

# 5
First-principles (GGA-PBE) data for crystalline Mn4Nb5Ru at its relaxed geometry, as listed in the Alexandria database.

Cell lengths 3.0859, 3.0859, 15.5305 Å; angles 90.00, 90.00, 90.00 degrees
Closest atoms and distances in Å follow each position.
Fractional coordinates of all 10 atoms:
1 Mn 0.0000 0.0000 0.0984  8 Nb 2.66
2 Mn 0.0000 0.0000 0.2966  8 Nb 2.64-2.68
3 Mn 0.0000 0.0000 0.7034  8 Nb 2.64-2.68
4 Mn 0.0000 0.0000 0.9016  8 Nb 2.66
5 Nb 0.5000 0.5000 0.0000  8 Mn 2.66
6 Nb 0.5000 0.5000 0.1964  8 Mn 2.66-2.68
7 Nb 0.5000 0.5000 0.3921  4 Mn 2.64, 4 Ru 2.75
8 Nb 0.5000 0.5000 0.6079  4 Mn 2.64, 4 Ru 2.75
9 Nb 0.5000 0.5000 0.8036  8 Mn 2.66-2.68
10 Ru 0.0000 0.0000 0.5000  8 Nb 2.75

E_tot: -9.77 eV/atom
Energy of formation: -0.141 eV/atom
Fermi-level density of states: 0.37 states/eV/atom
Crystal system: tetragonal

=====

# 6
First-principles (GGA-PBE) data for crystalline MnNb3Ru at its relaxed geometry, as listed in the Alexandria database.

Cell lengths 4.5192, 4.5192, 4.5192 Å; angles 90.00, 90.00, 90.00 degrees
Closest atoms and distances in Å follow each position.
Fractional coordinates of all 5 atoms:
1 Mn 0.0000 0.0000 0.0000  6 Nb 2.26
2 Nb 0.0000 0.0000 0.5000  2 Mn 2.26
3 Nb 0.0000 0.5000 0.0000  2 Mn 2.26
4 Nb 0.5000 0.0000 0.0000  2 Mn 2.26
5 Ru 0.5000 0.5000 0.5000  12 Nb 3.20

E_tot: -8.85 eV/atom
Polymorph energy (0 for the lowest one): 0 meV per atom
Energy of formation: 0.882 eV/atom
Fermi-level density of states: 1.57 states/eV/atom
Crystal system: cubic

=====

# 7
First-principles (GGA-PBE) data for crystalline MnNb6Ru at its relaxed geometry, as listed in the Alexandria database.

Cell lengths 4.5478, 4.5478, 13.0196 Å; angles 90.00, 90.00, 90.00 degrees
Closest atoms and distances in Å follow each position.
Fractional coordinates of all 16 atoms:
1 Mn 0.0000 0.0000 0.0000  8 Nb 2.76
2 Mn 0.5000 0.5000 0.5000  8 Nb 2.76
3 Nb 0.0000 0.0000 0.2487  8 Nb 2.83-2.85
4 Nb 0.0000 0.0000 0.7513  8 Nb 2.83-2.85
5 Nb 0.0000 0.5000 0.1198  2 Ru 2.76, 2 Mn 2.76, 4 Nb 2.83-2.85
6 Nb 0.0000 0.5000 0.3802  2 Ru 2.76, 2 Mn 2.76, 4 Nb 2.83-2.85
7 Nb 0.0000 0.5000 0.6198  2 Ru 2.76, 2 Mn 2.76, 4 Nb 2.83-2.85
8 Nb 0.0000 0.5000 0.8802  2 Ru 2.76, 2 Mn 2.76, 4 Nb 2.83-2.85
9 Nb 0.5000 0.0000 0.1198  2 Ru 2.76, 2 Mn 2.76, 4 Nb 2.83-2.85
10 Nb 0.5000 0.0000 0.3802  2 Ru 2.76, 2 Mn 2.76, 4 Nb 2.83-2.85
11 Nb 0.5000 0.0000 0.6198  2 Ru 2.76, 2 Mn 2.76, 4 Nb 2.83-2.85
12 Nb 0.5000 0.0000 0.8802  2 Ru 2.76, 2 Mn 2.76, 4 Nb 2.83-2.85
13 Nb 0.5000 0.5000 0.2513  8 Nb 2.83-2.85
14 Nb 0.5000 0.5000 0.7487  8 Nb 2.83-2.85
15 Ru 0.0000 0.0000 0.5000  8 Nb 2.76
16 Ru 0.5000 0.5000 0.0000  8 Nb 2.76

E_tot: -9.97 eV/atom
Energy of formation: -0.113 eV/atom
Fermi-level density of states: 0.62 states/eV/atom
Crystal system: tetragonal

=====

# 8
First-principles (GGA-PBE) data for crystalline MnNb2Ru at its relaxed geometry, as listed in the Alexandria database.

Cell lengths 7.0618, 7.0618, 5.4326 Å; angles 90.00, 90.00, 90.00 degrees
Closest atoms and distances in Å follow each position.
Fractional coordinates of all 16 atoms:
1 Mn 0.0000 0.0000 0.0000  4 Nb 2.62, 2 Ru 2.72
2 Mn 0.0000 0.5000 0.2500  4 Nb 2.62, 2 Ru 2.72
3 Mn 0.5000 0.0000 0.7500  4 Nb 2.62, 2 Ru 2.72
4 Mn 0.5000 0.5000 0.5000  4 Nb 2.62, 2 Ru 2.72
5 Nb 0.2426 0.2500 0.6250  2 Ru 2.55, 2 Mn 2.62, 2 Nb 2.72
6 Nb 0.2500 0.7426 0.8750  2 Ru 2.55, 2 Mn 2.62, 2 Nb 2.72
7 Nb 0.2500 0.7574 0.3750  2 Ru 2.55, 2 Mn 2.62, 2 Nb 2.72
8 Nb 0.2574 0.2500 0.1250  2 Ru 2.55, 2 Mn 2.62, 2 Nb 2.72
9 Nb 0.7426 0.7500 0.1250  2 Ru 2.55, 2 Mn 2.62, 2 Nb 2.72
10 Nb 0.7500 0.2426 0.3750  2 Ru 2.55, 2 Mn 2.62, 2 Nb 2.72
11 Nb 0.7500 0.2574 0.8750  2 Ru 2.55, 2 Mn 2.62, 2 Nb 2.72
12 Nb 0.7574 0.7500 0.6250  2 Ru 2.55, 2 Mn 2.62, 2 Nb 2.72
13 Ru 0.0000 0.0000 0.5000  4 Nb 2.55, 2 Mn 2.72
14 Ru 0.0000 0.5000 0.7500  4 Nb 2.55, 2 Mn 2.72
15 Ru 0.5000 0.0000 0.2500  4 Nb 2.55, 2 Mn 2.72
16 Ru 0.5000 0.5000 0.0000  4 Nb 2.55, 2 Mn 2.72

E_tot: -9.21 eV/atom
Polymorph energy (0 for the lowest one): 605 meV per atom
Energy of formation: 0.437 eV/atom
Fermi-level density of states: 1.28 states/eV/atom
Crystal system: tetragonal

=====

# 9
First-principles (GGA-PBE) data for crystalline Mn5Nb6Ru at its relaxed geometry, as listed in the Alexandria database.

Cell lengths 7.5632, 7.5632, 7.5632 Å; angles 146.35, 131.78, 60.08 degrees
Closest atoms and distances in Å follow each position.
Fractional coordinates of all 12 atoms:
1 Mn 0.0000 0.0000 0.0000  8 Nb 2.66-2.69
2 Mn 0.1665 0.6665 0.5000  8 Nb 2.65-2.67
3 Mn 0.3334 0.3334 0.0000  8 Nb 2.63-2.70
4 Mn 0.6666 0.6666 0.0000  8 Nb 2.63-2.70
5 Mn 0.8335 0.3335 0.5000  8 Nb 2.65-2.67
6 Nb 0.0776 0.8306 0.2470  7 Mn 2.63-2.69, 1 Ru 2.71
7 Nb 0.2436 0.5000 0.7436  6 Mn 2.65-2.70, 2 Ru 2.70
8 Nb 0.4164 0.1694 0.2470  7 Mn 2.63-2.69, 1 Ru 2.71
9 Nb 0.5836 0.8306 0.7530  7 Mn 2.63-2.69, 1 Ru 2.71
10 Nb 0.7564 0.5000 0.2564  6 Mn 2.65-2.70, 2 Ru 2.70
11 Nb 0.9224 0.1694 0.7530  7 Mn 2.63-2.69, 1 Ru 2.71
12 Ru 0.5000 0.0000 0.5000  8 Nb 2.70-2.71

E_tot: -9.76 eV/atom
Energy of formation: -0.135 eV/atom
Fermi-level density of states: 0.40 states/eV/atom
Crystal system: orthorhombic

=====

# 10
First-principles (GGA-PBE) data for crystalline MnNb2Ru at its relaxed geometry, as listed in the Alexandria database.

Cell lengths 2.9753, 4.5489, 10.1036 Å; angles 90.00, 90.00, 90.00 degrees
Closest atoms and distances in Å follow each position.
Fractional coordinates of all 8 atoms:
1 Mn 0.0000 0.0000 0.0000  2 Nb 2.56, 4 Ru 2.72
2 Mn 0.5000 0.5000 0.5000  2 Nb 2.56, 4 Ru 2.72
3 Nb 0.0000 0.0000 0.2531  1 Ru 2.49, 1 Mn 2.56, 4 Nb 2.72
4 Nb 0.0000 0.0000 0.7469  1 Ru 2.49, 1 Mn 2.56, 4 Nb 2.72
5 Nb 0.5000 0.5000 0.2469  1 Ru 2.49, 1 Mn 2.56, 4 Nb 2.72
6 Nb 0.5000 0.5000 0.7531  1 Ru 2.49, 1 Mn 2.56, 4 Nb 2.72
7 Ru 0.0000 0.0000 0.5000  2 Nb 2.49, 4 Mn 2.72
8 Ru 0.5000 0.5000 0.0000  2 Nb 2.49, 4 Mn 2.72

E_tot: -9.04 eV/atom
Polymorph energy (0 for the lowest one): 772 meV per atom
Energy of formation: 0.604 eV/atom
Fermi-level density of states: 0.95 states/eV/atom
Crystal system: orthorhombic

=====

# 11
First-principles (GGA-PBE) data for crystalline MnNb2Ru4 at its relaxed geometry, as listed in the Alexandria database.

Cell lengths 5.9992, 5.9992, 6.3372 Å; angles 90.00, 90.00, 90.00 degrees
Closest atoms and distances in Å follow each position.
Fractional coordinates of all 14 atoms:
1 Mn 0.0000 0.0000 0.0000  8 Ru 2.65
2 Mn 0.5000 0.5000 0.5000  8 Ru 2.65
3 Nb 0.0000 0.5000 0.0000  8 Ru 2.65
4 Nb 0.0000 0.5000 0.5000  8 Ru 2.65
5 Nb 0.5000 0.0000 0.0000  8 Ru 2.65
6 Nb 0.5000 0.0000 0.5000  8 Ru 2.65
7 Ru 0.2500 0.2500 0.2500  4 Nb 2.65, 2 Mn 2.65
8 Ru 0.2500 0.2500 0.7500  4 Nb 2.65, 2 Mn 2.65
9 Ru 0.2500 0.7500 0.2500  4 Nb 2.65, 2 Mn 2.65
10 Ru 0.2500 0.7500 0.7500  4 Nb 2.65, 2 Mn 2.65
11 Ru 0.7500 0.2500 0.2500  4 Nb 2.65, 2 Mn 2.65
12 Ru 0.7500 0.2500 0.7500  4 Nb 2.65, 2 Mn 2.65
13 Ru 0.7500 0.7500 0.2500  2 Mn 2.65, 4 Nb 2.65
14 Ru 0.7500 0.7500 0.7500  4 Nb 2.65, 2 Mn 2.65

E_tot: -9.32 eV/atom
Energy of formation: 0.166 eV/atom
Fermi-level density of states: 1.00 states/eV/atom
Crystal system: tetragonal

=====

# 12
First-principles (GGA-PBE) data for crystalline MnNb2Ru2 at its relaxed geometry, as listed in the Alexandria database.

Cell lengths 7.1930, 7.1930, 3.1059 Å; angles 90.00, 90.00, 90.00 degrees
Closest atoms and distances in Å follow each position.
Fractional coordinates of all 10 atoms:
1 Mn 0.0000 0.0000 0.0000  4 Ru 2.80, 8 Nb 3.09, 2 Mn 3.11
2 Mn 0.5000 0.5000 0.0000  4 Ru 2.80, 8 Nb 3.09, 2 Mn 3.11
3 Nb 0.1704 0.3296 0.5000  6 Ru 2.53-2.70
4 Nb 0.3296 0.8296 0.5000  6 Ru 2.53-2.70
5 Nb 0.6704 0.1704 0.5000  6 Ru 2.53-2.70
6 Nb 0.8296 0.6704 0.5000  6 Ru 2.53-2.70
7 Ru 0.1337 0.6337 0.0000  6 Nb 2.53-2.70, 1 Ru 2.72, 2 Mn 2.80
8 Ru 0.3663 0.1337 0.0000  6 Nb 2.53-2.70, 1 Ru 2.72, 2 Mn 2.80
9 Ru 0.6337 0.8663 0.0000  6 Nb 2.53-2.70, 1 Ru 2.72, 2 Mn 2.80
10 Ru 0.8663 0.3663 0.0000  6 Nb 2.53-2.70, 1 Ru 2.72, 2 Mn 2.80

E_tot: -9.32 eV/atom
Energy of formation: 0.252 eV/atom
Fermi-level density of states: 1.50 states/eV/atom
Crystal system: tetragonal

=====

# 13
First-principles (GGA-PBE) data for crystalline Mn2NbRu at its relaxed geometry, as listed in the Alexandria database.

Cell lengths 4.2363, 4.2363, 3.1422 Å; angles 90.00, 90.00, 90.00 degrees
Closest atoms and distances in Å follow each position.
Fractional coordinates of all 4 atoms:
1 Mn 0.0000 0.5000 0.0000  4 Ru 2.64, 4 Nb 2.64
2 Mn 0.5000 0.0000 0.0000  4 Ru 2.64, 4 Nb 2.64
3 Nb 0.0000 0.0000 0.5000  8 Mn 2.64
4 Ru 0.5000 0.5000 0.5000  8 Mn 2.64

E_tot: -9.42 eV/atom
Polymorph energy (0 for the lowest one): 0 meV per atom
Energy of formation: 0.003 eV/atom
Fermi-level density of states: 0.89 states/eV/atom
Crystal system: tetragonal